[1]
12
Lattice="4.6021 -0.1185 0.0708 2.0178 4.1379 0.0708 0.4213 0.2558 7.3249" Properties=species:S:1:pos:R:3 comment="AcB2RhO8 (PBE-GGA, optimized geometry)" space_group="C2/m, No. 12" e_form_raw_ev_per_atom=-1.777 pbc="T T T"
Ac 0.2106 0.1279 3.6624
B 4.2654 2.5898 1.6190
B 2.7758 1.6854 5.8475
Rh 0.0000 0.0000 0.0000
O 4.1580 1.1441 5.9657
O 5.0144 3.0446 0.4357
O 4.7571 2.8884 2.9215
O 2.2840 1.3868 4.5450
O 2.0267 1.2306 7.0308
O 2.9332 3.1614 5.9657
O 4.1080 1.1138 1.5009
O 2.8832 3.1310 1.5009


[2]
10
Lattice="-2.9540 -4.0415 -0.4412 1.0349 -4.1660 2.6129 -3.7932 -0.8887 4.9179" Properties=species:S:1:pos:R:3 comment="AcB2RuO6 (PBE-GGA, optimized geometry)" space_group="R-3, No. 148" e_form_raw_ev_per_atom=-2.253 pbc="T T T"
Ac 0.0000 0.0000 0.0000
B -4.1419 -6.9055 5.1280
B -1.5704 -2.1907 1.9617
Ru -2.8561 -4.5481 3.5448
O -2.3618 -2.9986 4.8436
O -4.7733 -3.7582 3.3649
O -2.2154 -3.4174 1.9191
O -3.3504 -6.0976 2.2461
O -0.9389 -5.3380 3.7248
O -3.4968 -5.6788 5.1706


[3]
12
Lattice="4.6282 -0.1108 0.0767 2.0367 4.1575 0.0767 0.4333 0.2631 7.3332" Properties=species:S:1:pos:R:3 comment="AcB2RuO8 (PBE-GGA, optimized geometry)" space_group="C2/m, No. 12" e_form_raw_ev_per_atom=-1.929 pbc="T T T"
Ac 0.2167 0.1316 3.6666
B 4.2869 2.6028 1.6744
B 2.8114 1.7070 5.8122
Ru 0.0000 0.0000 0.0000
O 4.1684 1.1393 5.9988
O 5.1349 3.1177 0.5539
O 4.7790 2.9016 2.9658
O 2.3192 1.4082 4.5208
O 1.9634 1.1921 6.9327
O 2.9337 3.1729 5.9988
O 4.1645 1.1369 1.4878
O 2.9298 3.1705 1.4878


[4]
20
Lattice="6.8730 -0.1292 0.2688 -0.9697 6.8055 0.2688 -1.4248 -1.6114 5.7914" Properties=species:S:1:pos:R:3 comment="AcB2SbO6 (PBE-GGA, optimized geometry)" space_group="C2/c, No. 15" e_form_raw_ev_per_atom=-2.448 pbc="T T T"
Ac -0.2497 5.4511 1.7167
Ac 4.7282 -0.3862 4.6124
B 1.4420 -0.7639 4.4629
B 4.7008 2.9215 4.7619
B 3.0364 5.8288 1.8662
B -0.2223 2.1434 1.5672
Sb 3.4876 2.1465 1.7167
Sb 0.9909 2.9184 4.6124
O 5.4388 2.4427 1.1995
O 3.4324 0.1736 2.2338
O -0.9603 2.6222 5.1295
O 1.0461 4.8912 4.0952
O 0.4017 1.0809 0.9969
O 4.1673 5.3396 2.4364
O 4.0768 3.9840 5.3321
O 0.3112 -0.2747 3.8926
O 0.2467 2.9714 2.5551
O 2.2721 5.2620 0.8782
O 4.2318 2.0935 3.7739
O 2.2064 -0.1971 5.4508


[5]
20
Lattice="6.3514 0.0454 0.0630 -1.4863 6.1752 0.0630 -1.4863 -1.9004 5.8758" Properties=species:S:1:pos:R:3 comment="AcSc3B4O12 (PBE-GGA, optimized geometry)" space_group="R32, No. 155" e_form_raw_ev_per_atom=-3.053 pbc="T T T"
Ac 0.0000 0.0000 0.0000
Sc 2.8222 2.8055 0.0630
Sc 2.0429 -1.0243 3.2584
Sc -1.4863 2.5389 2.6804
B 5.1940 -0.5809 3.0009
B -1.8152 1.2900 5.6001
B 1.6894 5.7710 0.4017
B 1.6894 2.1601 3.0009
O 1.6894 1.0279 3.8158
O 4.9236 2.9630 0.6023
O -1.5448 4.6895 3.0009
O 1.6894 -1.1723 5.3995
O 0.6634 5.6116 1.3085
O -0.6844 0.5137 5.7367
O 5.2864 0.6073 2.3081
O 2.7154 4.8606 0.2651
O -1.9076 2.3242 4.6933
O 4.0631 -0.9569 3.6938
O 2.7882 2.4328 2.1860
O 0.5906 3.0194 3.0009


[6]
12
Lattice="-4.4733 1.7932 1.3814 2.4486 -3.1988 2.9843 3.0244 5.1795 3.0703" Properties=species:S:1:pos:R:3 comment="AcSi2BO8 (PBE-GGA, optimized geometry)" space_group="P-3m1, No. 164" e_form_raw_ev_per_atom=-2.160 pbc="T T T"
Ac 0.0000 0.0000 0.0000
Si -1.3022 1.6085 2.7926
Si 2.3020 2.1654 4.6434
B 1.5122 2.5898 1.5351
O 3.0367 3.4237 5.3893
O 0.0672 1.8804 1.9616
O -2.3478 2.8491 2.7063
O -2.0370 0.3502 2.0467
O 3.3475 0.9248 4.7297
O 0.9326 1.8935 5.4744
O 2.0266 2.6516 3.1178
O -1.0268 1.1223 4.3182